(1)
# CoIrPt2, single point on PBEsol structure, DFT meta-GGA SCAN
data_CoIrPt2
_cell_length_a 2.694
_cell_length_b 2.694
_cell_length_c 7.522
_cell_angle_alpha 90.00
_cell_angle_beta 90.00
_cell_angle_gamma 90.00
_space_group_name_H-M_alt 'P 4 m m'
_space_group_IT_number 99
loop_
_space_group_symop_operation_xyz
'x,y,z'
'-y,x,z'
'-x,-y,z'
'y,-x,z'
'-x,y,z'
'y,x,z'
'x,-y,z'
'-y,-x,z'
loop_
_atom_site_label
_atom_site_type_symbol
_atom_site_fract_x
_atom_site_fract_y
_atom_site_fract_z
_atom_site_occupancy
Co1 Co 0.000 0.000 0.000 1
Ir1 Ir 0.500 0.500 0.223 1
Pt1 Pt 0.000 0.000 0.486 1
Pt2 Pt 0.500 0.500 0.762 1
# Offset from the most stable computed form: 0.089 eV/atom

---

(2)
# BaMgP2, single point on PBEsol structure, DFT meta-GGA SCAN
data_BaMgP2
_cell_length_a 7.410
_cell_length_b 7.776
_cell_length_c 3.252
_cell_angle_alpha 90.00
_cell_angle_beta 90.00
_cell_angle_gamma 90.00
_space_group_name_H-M_alt 'C m m m'
_space_group_IT_number 65
_space_group_name_Hall '-C 2 2'
loop_
_atom_site_label
_atom_site_type_symbol
_atom_site_fract_x
_atom_site_fract_y
_atom_site_fract_z
_atom_site_occupancy
Ba1 Ba 0.000 0.000 0.000 1
Mg1 Mg 0.000 0.500 0.000 1
P1 P 0.250 0.250 0.500 1
# E_tot: -16.5585 eV/atom

---

(3)
# Mn2CoSbIr, single point on PBEsol structure, DFT meta-GGA SCAN
data_Mn2CoSbIr
_cell_length_a 4.695
_cell_length_b 4.695
_cell_length_c 4.503
_cell_angle_alpha 90.00
_cell_angle_beta 90.00
_cell_angle_gamma 90.00
_space_group_name_H-M_alt 'P 4/m m m'
_space_group_IT_number 123
_space_group_name_Hall '-P 4 2'
loop_
_atom_site_label
_atom_site_type_symbol
_atom_site_fract_x
_atom_site_fract_y
_atom_site_fract_z
_atom_site_occupancy
Mn1 Mn 0.000 0.500 0.000 1
Co1 Co 0.000 0.000 0.500 1
Sb1 Sb 0.500 0.500 0.500 1
Ir1 Ir 0.000 0.000 0.000 1
# Uncorrected formation energy: 0.57 eV per atom

---

(4)
# Zr2InMo, single point on PBEsol structure, DFT meta-GGA SCAN
data_Zr2InMo
_cell_length_a 4.160
_cell_length_b 4.160
_cell_length_c 9.069
_cell_angle_alpha 90.00
_cell_angle_beta 90.00
_cell_angle_gamma 90.00
_space_group_name_H-M_alt 'I -4 m 2'
_space_group_IT_number 119
_space_group_name_Hall 'I -4 -2'
loop_
_atom_site_label
_atom_site_type_symbol
_atom_site_fract_x
_atom_site_fract_y
_atom_site_fract_z
_atom_site_occupancy
Zr1 Zr 0.000 0.000 0.000 1
Zr2 Zr 0.000 0.500 0.250 1
In1 In 0.000 0.000 0.500 1
Mo1 Mo 0.000 0.500 0.750 1
# E_tot: -32.4660 eV/atom

---

(5)
# YMo3, single point on PBEsol structure, DFT meta-GGA SCAN
data_YMo3
_cell_length_a 4.740
_cell_length_b 4.740
_cell_length_c 4.740
_cell_angle_alpha 90.00
_cell_angle_beta 90.00
_cell_angle_gamma 90.00
_space_group_name_H-M_alt 'P m -3 m'
_space_group_IT_number 221
_space_group_name_Hall '-P 4 2 3'
loop_
_atom_site_label
_atom_site_type_symbol
_atom_site_fract_x
_atom_site_fract_y
_atom_site_fract_z
_atom_site_occupancy
Y1 Y 0.000 0.000 0.000 1
Mo1 Mo 0.000 0.000 0.500 1
# E_tot: -29.2893 eV/atom

---

(6)
# FeRe2Ir, single point on PBEsol structure, DFT meta-GGA SCAN
data_FeRe2Ir
_cell_length_a 4.522
_cell_length_b 4.522
_cell_length_c 2.718
_cell_angle_alpha 90.00
_cell_angle_beta 90.00
_cell_angle_gamma 90.00
_space_group_name_H-M_alt 'P 4/m m m'
_space_group_IT_number 123
_space_group_name_Hall '-P 4 2'
loop_
_atom_site_label
_atom_site_type_symbol
_atom_site_fract_x
_atom_site_fract_y
_atom_site_fract_z
_atom_site_occupancy
Fe1 Fe 0.000 0.000 0.000 1
Re1 Re 0.000 0.500 0.500 1
Ir1 Ir 0.500 0.500 0.000 1
# E_tot: -57.6148 eV/atom

---

(7)
# Sr2RhSe, single point on PBEsol structure, DFT meta-GGA SCAN
data_Sr2RhSe
_cell_length_a 5.137
_cell_length_b 5.137
_cell_length_c 3.693
_cell_angle_alpha 90.00
_cell_angle_beta 90.00
_cell_angle_gamma 90.00
_space_group_name_H-M_alt 'P 4/m m m'
_space_group_IT_number 123
_space_group_name_Hall '-P 4 2'
loop_
_atom_site_label
_atom_site_type_symbol
_atom_site_fract_x
_atom_site_fract_y
_atom_site_fract_z
_atom_site_occupancy
Sr1 Sr 0.000 0.500 0.000 1
Rh1 Rh 0.000 0.000 0.500 1
Se1 Se 0.500 0.500 0.500 1
# Uncorrected formation energy: -0.87 eV per atom

---

(8)
# NaYBiRh2, single point on PBEsol structure, DFT meta-GGA SCAN
data_NaYBiRh2
_cell_length_a 4.835
_cell_length_b 4.835
_cell_length_c 5.190
_cell_angle_alpha 90.00
_cell_angle_beta 90.00
_cell_angle_gamma 90.00
_space_group_name_H-M_alt 'P 4/m m m'
_space_group_IT_number 123
_space_group_name_Hall '-P 4 2'
loop_
_atom_site_label
_atom_site_type_symbol
_atom_site_fract_x
_atom_site_fract_y
_atom_site_fract_z
_atom_site_occupancy
Na1 Na 0.000 0.000 0.000 1
Y1 Y 0.000 0.000 0.500 1
Bi1 Bi 0.500 0.500 0.000 1
Rh1 Rh 0.000 0.500 0.500 1
# E_tot: -34.9002 eV/atom

---

(9)
# KMo2Se2, single point on PBEsol structure, DFT meta-GGA SCAN
data_KMo2Se2
_cell_length_a 3.906
_cell_length_b 3.906
_cell_length_c 14.203
_cell_angle_alpha 90.00
_cell_angle_beta 90.00
_cell_angle_gamma 90.00
_space_group_name_H-M_alt 'I 4/m m m'
_space_group_IT_number 139
_space_group_name_Hall '-I 4 2'
loop_
_atom_site_label
_atom_site_type_symbol
_atom_site_fract_x
_atom_site_fract_y
_atom_site_fract_z
_atom_site_occupancy
K1 K 0.000 0.000 0.000 1
Mo1 Mo 0.000 0.500 0.250 1
Se1 Se 0.000 0.000 0.365 1
# Uncorrected formation energy: -0.43 eV per atom

---

(10)
# Tc2RuPt, single point on PBEsol structure, DFT meta-GGA SCAN
data_Tc2RuPt
_cell_length_a 2.704
_cell_length_b 4.327
_cell_length_c 4.750
_cell_angle_alpha 90.00
_cell_angle_beta 90.00
_cell_angle_gamma 90.00
_space_group_name_H-M_alt 'P m m 2'
_space_group_IT_number 25
loop_
_space_group_symop_operation_xyz
'x,y,z'
'-x,-y,z'
'-x,y,z'
'x,-y,z'
loop_
_atom_site_label
_atom_site_type_symbol
_atom_site_fract_x
_atom_site_fract_y
_atom_site_fract_z
_atom_site_occupancy
Tc1 Tc 0.000 0.000 0.000 1
Tc2 Tc 0.000 0.500 0.319 1
Ru1 Ru 0.500 0.000 0.486 1
Pt1 Pt 0.500 0.500 0.822 1
# Offset from the most stable computed form: 0.000 eV/atom

---

(11)
# CsAsN2O, single point on PBEsol structure, DFT meta-GGA SCAN
data_CsAsN2O
_cell_length_a 4.112
_cell_length_b 4.112
_cell_length_c 3.980
_cell_angle_alpha 90.00
_cell_angle_beta 90.00
_cell_angle_gamma 90.00
_space_group_name_H-M_alt 'P 4/m m m'
_space_group_IT_number 123
_space_group_name_Hall '-P 4 2'
loop_
_atom_site_label
_atom_site_type_symbol
_atom_site_fract_x
_atom_site_fract_y
_atom_site_fract_z
_atom_site_occupancy
Cs1 Cs 0.000 0.000 0.000 1
As1 As 0.500 0.500 0.500 1
N1 N 0.000 0.500 0.500 1
O1 O 0.500 0.500 0.000 1
# Uncorrected formation energy: 0.69 eV per atom

---

(12)
# Sn4As3, single point on PBEsol structure, DFT meta-GGA SCAN
data_Sn4As3
_cell_length_a 4.0805
_cell_length_b 4.0805
_cell_length_c 35.7380
_cell_angle_alpha 90.00
_cell_angle_beta 90.00
_cell_angle_gamma 120.00
_space_group_name_H-M_alt 'R -3 m'
_space_group_IT_number 166
_space_group_name_Hall '-R 3 2"'
loop_
_atom_site_label
_atom_site_type_symbol
_atom_site_fract_x
_atom_site_fract_y
_atom_site_fract_z
_atom_site_occupancy
Sn1 Sn 0.0000 0.0000 0.1362 1
Sn2 Sn 0.0000 0.0000 0.2885 1
As1 As 0.0000 0.0000 0.0000 1
As2 As 0.0000 0.0000 0.4293 1
# E_tot: -29.1915 eV/atom

---

Please write out number 5 again, unchanged.
# YMo3, single point on PBEsol structure, DFT meta-GGA SCAN
data_YMo3
_cell_length_a 4.740
_cell_length_b 4.740
_cell_length_c 4.740
_cell_angle_alpha 90.00
_cell_angle_beta 90.00
_cell_angle_gamma 90.00
_space_group_name_H-M_alt 'P m -3 m'
_space_group_IT_number 221
_space_group_name_Hall '-P 4 2 3'
loop_
_atom_site_label
_atom_site_type_symbol
_atom_site_fract_x
_atom_site_fract_y
_atom_site_fract_z
_atom_site_occupancy
Y1 Y 0.000 0.000 0.000 1
Mo1 Mo 0.000 0.000 0.500 1
# E_tot: -29.2893 eV/atom